Run w
Material: LaIrAu
Method: DFT, PBE
State: relaxed

```
data_LaIrAu
_chemical_formula_sum 'La2 Ir2 Au2'
_cell_length_a 4.6550
_cell_length_b 5.4570
_cell_length_c 6.1531
_cell_angle_alpha 78.83
_cell_angle_beta 67.39
_cell_angle_gamma 89.42
_space_group_name_H-M_alt 'P 1'
_space_group_IT_number 1
loop_
_space_group_symop_operation_xyz
'x,y,z'
loop_
_atom_site_label
_atom_site_fract_x
_atom_site_fract_y
_atom_site_fract_z
Au1 0.0912 0.7166 0.3171
Au2 0.9088 0.2834 0.6829
Ir1 0.7081 0.9001 0.0831
Ir2 0.2919 0.0999 0.9169
La1 0.6168 0.3140 0.2745
La2 0.3832 0.6860 0.7255
```

Values from the calculation:
The theoretical density is 12.42 g cm⁻³. Its space-group type is No. 2. Its density of states at the Fermi level is 2.449 states/eV per cell. The crystal system is triclinic.

Run x
Material: LaIrAu
Method: DFT, PBE
State: relaxed

```
data_LaIrAu
_chemical_formula_sum 'La1 Ir1 Au1'
_cell_length_a 4.5579
_cell_length_b 4.5579
_cell_length_c 3.9488
_cell_angle_alpha 90.00
_cell_angle_beta 90.00
_cell_angle_gamma 120.00
_space_group_name_H-M_alt 'P 1'
_space_group_IT_number 1
loop_
_space_group_symop_operation_xyz
'x,y,z'
loop_
_atom_site_label
_atom_site_fract_x
_atom_site_fract_y
_atom_site_fract_z
Au1 0.0000 0.0000 0.1664
Ir1 0.6667 0.3333 0.1669
La1 0.3333 0.6667 0.6667
```

Values from the calculation:
The theoretical density is 12.34 g cm⁻³. Its space-group type is No. 187. Its density of states at the Fermi level is 3.397 states/eV per cell. The crystal system is hexagonal.

Which is most stable, and by how much? run w, by 0.140 eV/atom.